Density functional theory data (GGA-PBE) for crystalline Ac3LaInNi at its relaxed geometry.

Summary:
* D(E_F): 6.66 states/eV/f.u.
* total DFT energy (no corrections): -4.521 eV per atom

```
data_Ac3LaInNi
_space_group_name_H-M_alt 'C 1 2/m 1'
_space_group_IT_number 12
_space_group_name_Hall '-C 2y'
_cell_length_a 17.936
_cell_length_b 7.543
_cell_length_c 6.447
_cell_angle_alpha 90.00
_cell_angle_beta 110.86
_cell_angle_gamma 90.00
loop_
_atom_site_label
_atom_site_type_symbol
_atom_site_fract_x
_atom_site_fract_y
_atom_site_fract_z
Ac1 Ac 0.117 0.246 0.114
Ac2 Ac 0.189 0.500 0.684
La1 La 0.000 0.234 0.500
In1 In 0.190 0.000 0.690
Ni1 Ni 0.001 0.500 0.201
```

***

Density functional theory data (GGA-PBE) for crystalline Ac2LaIn12Ni3 at its relaxed geometry.

Summary:
* D(E_F): 11.85 states/eV/f.u.
* total DFT energy (no corrections): -3.591 eV per atom

```
data_Ac2LaIn12Ni3
_space_group_name_H-M_alt 'R -3 m'
_space_group_IT_number 166
_space_group_name_Hall '-R 3 2"'
_cell_length_a 9.3213
_cell_length_b 9.3213
_cell_length_c 20.6313
_cell_angle_alpha 90.00
_cell_angle_beta 90.00
_cell_angle_gamma 120.00
loop_
_atom_site_label
_atom_site_type_symbol
_atom_site_fract_x
_atom_site_fract_y
_atom_site_fract_z
Ac1 Ac 0.0000 0.0000 0.0851
La1 La 0.0000 0.0000 0.5000
In1 In 0.0716 0.5358 0.3147
In2 In 0.0818 0.5409 0.8802
Ni1 Ni 0.0000 0.5000 0.0000
```

***

Density functional theory data (GGA-PBE) for crystalline AcLa2InNi at its relaxed geometry.

Summary:
* D(E_F): 6.73 states/eV/f.u.
* total DFT energy (no corrections): -4.721 eV per atom

```
data_AcLa2InNi
_space_group_name_H-M_alt 'P 4/m m m'
_space_group_IT_number 123
_space_group_name_Hall '-P 4 2'
_cell_length_a 5.432
_cell_length_b 5.432
_cell_length_c 5.644
_cell_angle_alpha 90.00
_cell_angle_beta 90.00
_cell_angle_gamma 90.00
loop_
_atom_site_label
_atom_site_type_symbol
_atom_site_fract_x
_atom_site_fract_y
_atom_site_fract_z
Ac1 Ac 0.000 0.000 0.000
La1 La 0.000 0.500 0.500
In1 In 0.500 0.500 0.000
Ni1 Ni 0.000 0.000 0.500
```

***

Density functional theory data (GGA-PBE) for crystalline AcLa2InO6 at its relaxed geometry.

Summary:
* raw formation energy: -2.72 eV/atom
* D(E_F): 0.00 states/eV/f.u.
* total DFT energy (no corrections): -7.365 eV per atom

```
data_AcLa2InO6
_space_group_name_H-M_alt 'P 4 m m'
_space_group_IT_number 99
_space_group_name_Hall 'P 4 -2'
_cell_length_a 5.627
_cell_length_b 5.627
_cell_length_c 5.849
_cell_angle_alpha 90.00
_cell_angle_beta 90.00
_cell_angle_gamma 90.00
loop_
_atom_site_label
_atom_site_type_symbol
_atom_site_fract_x
_atom_site_fract_y
_atom_site_fract_z
Ac1 Ac 0.000 0.000 0.000
La1 La 0.000 0.500 0.439
In1 In 0.500 0.500 0.043
O1 O 0.000 0.000 0.592
O2 O 0.258 0.258 0.211
O3 O 0.500 0.500 0.687
```

***

Density functional theory data (GGA-PBE) for crystalline AcLa12In4O3 at its relaxed geometry.

Summary:
* raw formation energy: -0.83 eV/atom
* D(E_F): 19.50 states/eV/f.u.
* total DFT energy (no corrections): -5.285 eV per atom

```
data_AcLa12In4O3
_space_group_name_H-M_alt 'I m -3 m'
_space_group_IT_number 229
_space_group_name_Hall '-I 4 2 3'
_cell_length_a 10.515
_cell_length_b 10.515
_cell_length_c 10.515
_cell_angle_alpha 90.00
_cell_angle_beta 90.00
_cell_angle_gamma 90.00
loop_
_atom_site_label
_atom_site_type_symbol
_atom_site_fract_x
_atom_site_fract_y
_atom_site_fract_z
Ac1 Ac 0.000 0.000 0.000
La1 La 0.000 0.000 0.278
La2 La 0.000 0.250 0.500
In1 In 0.250 0.250 0.250
O1 O 0.000 0.000 0.500
```

***

Density functional theory data (GGA-PBE) for crystalline AcLaInPb at its relaxed geometry.

Summary:
* D(E_F): 2.34 states/eV/f.u.
* total DFT energy (no corrections): -4.340 eV per atom

```
data_AcLaInPb
_space_group_name_H-M_alt 'F -4 3 m'
_space_group_IT_number 216
_space_group_name_Hall 'F -4 2 3'
_cell_length_a 8.123
_cell_length_b 8.123
_cell_length_c 8.123
_cell_angle_alpha 90.00
_cell_angle_beta 90.00
_cell_angle_gamma 90.00
loop_
_atom_site_label
_atom_site_type_symbol
_atom_site_fract_x
_atom_site_fract_y
_atom_site_fract_z
Ac1 Ac 0.000 0.000 0.000
La1 La 0.000 0.000 0.500
In1 In 0.250 0.250 0.250
Pb1 Pb 0.250 0.250 0.750
```